(1)
A plane-wave DFT calculation with meta-GGA SCAN was carried out for MnSb3 at its PBEsol-relaxed geometry.

Output
**Final energy**: -388.4 eV/cell
**Energy above the most stable polymorph in this dataset**: 0.28 eV per formula unit
**DOS(E_F)**: 6.71 states/eV/cell

a = 3.3212 Å, b = 3.3212 Å, c = 27.8573 Å
α = 90.00°, β = 90.00°, γ = 120.00°
Space group R-3m (No. 166, hexagonal axes)
Symmetry-distinct sites (fractional):
Mn1 0.0000 0.0000 0.0000
Sb1 0.0000 0.0000 0.2685
Sb2 0.0000 0.0000 0.5000

***

(2)
A plane-wave DFT calculation with meta-GGA SCAN was carried out for Mn4Sb3 at its PBEsol-relaxed geometry.

Output
**Final energy**: -370.4 eV/cell
**DOS(E_F)**: 8.02 states/eV/cell

a = 3.319 Å, b = 3.319 Å, c = 22.242 Å
α = 90.00°, β = 90.00°, γ = 90.00°
Space group I4/mmm (No. 139)
Symmetry-distinct sites (fractional):
Mn1 0.000 0.000 0.062
Mn2 0.000 0.000 0.378
Sb1 0.000 0.000 0.183
Sb2 0.000 0.000 0.500

***

(3)
A plane-wave DFT calculation with meta-GGA SCAN was carried out for MnSb3 at its PBEsol-relaxed geometry.

Output
**Final energy**: -259.2 eV/cell
**Energy above the most stable polymorph in this dataset**: 0.15 eV per formula unit
**DOS(E_F)**: 5.29 states/eV/cell

a = 3.362 Å, b = 4.511 Å, c = 12.306 Å
α = 90.00°, β = 90.00°, γ = 90.00°
Space group Immm (No. 71)
Symmetry-distinct sites (fractional):
Mn1 0.000 0.000 0.000
Sb1 0.000 0.000 0.500
Sb2 0.000 0.500 0.323

***

(4)
A plane-wave DFT calculation with meta-GGA SCAN was carried out for MnSb3 at its PBEsol-relaxed geometry.

Output
**Final energy**: -129.4 eV/cell
**Energy above the most stable polymorph in this dataset**: 0.38 eV per formula unit
**DOS(E_F)**: 2.55 states/eV/cell

a = 3.294 Å, b = 3.294 Å, c = 8.000 Å
α = 90.00°, β = 90.00°, γ = 90.00°
Space group P4/mmm (No. 123)
Symmetry-distinct sites (fractional):
Mn1 0.000 0.000 0.000
Sb1 0.000 0.000 0.500
Sb2 0.500 0.500 0.193

***

(5)
A plane-wave DFT calculation with meta-GGA SCAN was carried out for MnSb2 at its PBEsol-relaxed geometry.

Output
**Final energy**: -92.7 eV/cell
**DOS(E_F)**: 1.71 states/eV/cell

a = 3.4983 Å, b = 3.4983 Å, c = 5.9059 Å
α = 90.00°, β = 90.00°, γ = 120.00°
Space group P-3m1 (No. 164)
Symmetry-distinct sites (fractional):
Mn1 0.0000 0.0000 0.0000
Sb1 0.3333 0.6667 0.2821

***

(6)
A plane-wave DFT calculation with meta-GGA SCAN was carried out for Mn3Sb at its PBEsol-relaxed geometry.

Output
**Final energy**: -91.6 eV/cell
**DOS(E_F)**: 2.33 states/eV/cell

a = 4.123 Å, b = 4.123 Å, c = 3.062 Å
α = 90.00°, β = 90.00°, γ = 90.00°
Space group P4/mmm (No. 123)
Symmetry-distinct sites (fractional):
Mn1 0.000 0.000 0.000
Mn2 0.000 0.500 0.500
Sb1 0.500 0.500 0.000

***

(7)
A plane-wave DFT calculation with meta-GGA SCAN was carried out for Mn3Sb at its PBEsol-relaxed geometry.

Output
**Final energy**: -92.3 eV/cell
**DOS(E_F)**: 1.30 states/eV/cell

a = 3.758 Å, b = 3.758 Å, c = 3.758 Å
α = 90.00°, β = 90.00°, γ = 90.00°
Space group Pm-3m (No. 221)
Symmetry-distinct sites (fractional):
Mn1 0.000 0.000 0.500
Sb1 0.500 0.500 0.500

***

(8)
A plane-wave DFT calculation with meta-GGA SCAN was carried out for MnSb3 at its PBEsol-relaxed geometry.

Output
**Final energy**: -519.0 eV/cell
**Energy above the most stable polymorph in this dataset**: 0.00 eV per formula unit
**DOS(E_F)**: 8.18 states/eV/cell

a = 8.055 Å, b = 13.325 Å, c = 3.667 Å
α = 90.00°, β = 90.00°, γ = 90.00°
Space group Cmcm (No. 63)
Symmetry-distinct sites (fractional):
Mn1 0.000 0.078 0.250
Sb1 0.000 0.246 0.750
Sb2 0.250 0.093 0.750

***

(9)
A plane-wave DFT calculation with meta-GGA SCAN was carried out for Sc2MnSb at its PBEsol-relaxed geometry.

Output
**Final energy**: -84.3 eV/cell
**DOS(E_F)**: 4.03 states/eV/cell

a = 3.193 Å, b = 3.193 Å, c = 7.487 Å
α = 90.00°, β = 90.00°, γ = 90.00°
Space group P4mm (No. 99)
Symmetry-distinct sites (fractional):
Sc1 0.000 0.000 0.000
Sc2 0.500 0.500 0.337
Mn1 0.000 0.000 0.551
Sb1 0.500 0.500 0.727

***

(10)
A plane-wave DFT calculation with meta-GGA SCAN was carried out for ScMnSb2 at its PBEsol-relaxed geometry.

Output
**Final energy**: -108.5 eV/cell
**DOS(E_F)**: 2.84 states/eV/cell

a = 3.705 Å, b = 3.705 Å, c = 6.102 Å
α = 90.00°, β = 90.00°, γ = 90.00°
Space group P4/mmm (No. 123)
Symmetry-distinct sites (fractional):
Sc1 0.000 0.000 0.000
Mn1 0.000 0.000 0.500
Sb1 0.500 0.500 0.257

***

(11)
A plane-wave DFT calculation with meta-GGA SCAN was carried out for Sc2MnSb at its PBEsol-relaxed geometry.

Output
**Final energy**: -86.1 eV/cell
**DOS(E_F)**: 2.07 states/eV/cell

a = 3.569 Å, b = 3.569 Å, c = 6.108 Å
α = 90.00°, β = 90.00°, γ = 90.00°
Space group P4/mmm (No. 123)
Symmetry-distinct sites (fractional):
Sc1 0.000 0.000 0.240
Mn1 0.500 0.500 0.000
Sb1 0.500 0.500 0.500

***

(12)
A plane-wave DFT calculation with meta-GGA SCAN was carried out for ScMn2Sb at its PBEsol-relaxed geometry.

Output
**Final energy**: -88.5 eV/cell
**DOS(E_F)**: 2.77 states/eV/cell

a = 3.319 Å, b = 3.319 Å, c = 5.841 Å
α = 90.00°, β = 90.00°, γ = 90.00°
Space group P4/mmm (No. 123)
Symmetry-distinct sites (fractional):
Sc1 0.000 0.000 0.000
Mn1 0.500 0.500 0.270
Sb1 0.000 0.000 0.500

***

(13)
A plane-wave DFT calculation with meta-GGA SCAN was carried out for ScMnSb at its PBEsol-relaxed geometry.

Output
**Final energy**: -69.8 eV/cell
**DOS(E_F)**: 2.17 states/eV/cell

a = 3.2707 Å, b = 3.2707 Å, c = 6.1642 Å
α = 90.00°, β = 90.00°, γ = 120.00°
Space group P3m1 (No. 156)
Symmetry-distinct sites (fractional):
Sc1 0.0000 0.0000 0.0000
Mn1 0.3333 0.6667 0.6844
Sb1 0.6667 0.3333 0.3966

***

(14)
A plane-wave DFT calculation with meta-GGA SCAN was carried out for ScMn2Sb at its PBEsol-relaxed geometry.

Output
**Final energy**: -177.7 eV/cell
**DOS(E_F)**: 6.27 states/eV/cell

a = 4.104 Å, b = 4.104 Å, c = 7.286 Å
α = 90.00°, β = 90.00°, γ = 90.00°
Space group I4/mmm (No. 139)
Symmetry-distinct sites (fractional):
Sc1 0.000 0.000 0.000
Mn1 0.000 0.500 0.250
Sb1 0.000 0.000 0.500

***

(15)
A plane-wave DFT calculation with meta-GGA SCAN was carried out for ScMnSb2 at its PBEsol-relaxed geometry.

Output
**Final energy**: -217.4 eV/cell
**DOS(E_F)**: 4.78 states/eV/cell

a = 3.907 Å, b = 4.208 Å, c = 9.997 Å
α = 90.00°, β = 90.00°, γ = 90.00°
Space group Imm2 (No. 44)
Symmetry-distinct sites (fractional):
Sc1 0.000 0.000 0.000
Mn1 0.000 0.500 0.766
Sb1 0.000 0.000 0.479
Sb2 0.000 0.500 0.237

***

(16)
A plane-wave DFT calculation with meta-GGA SCAN was carried out for ScMnSb2 at its PBEsol-relaxed geometry.

Output
**Final energy**: -108.4 eV/cell
**DOS(E_F)**: 2.39 states/eV/cell

a = 3.286 Å, b = 3.952 Å, c = 6.575 Å
α = 90.00°, β = 103.27°, γ = 90.00°
Space group P2/m (No. 10)
Symmetry-distinct sites (fractional):
Sc1 0.000 0.000 0.000
Mn1 0.500 0.000 0.500
Sb1 0.309 0.500 0.742

***

(17)
A plane-wave DFT calculation with meta-GGA SCAN was carried out for ScMnSb at its PBEsol-relaxed geometry.

Output
**Final energy**: -141.8 eV/cell
**DOS(E_F)**: 2.38 states/eV/cell

a = 3.436 Å, b = 3.436 Å, c = 9.505 Å
α = 90.00°, β = 90.00°, γ = 90.00°
Space group I4mm (No. 107)
Symmetry-distinct sites (fractional):
Sc1 0.000 0.000 0.000
Mn1 0.000 0.000 0.330
Sb1 0.000 0.000 0.690

***

(18)
A plane-wave DFT calculation with meta-GGA SCAN was carried out for MnSbSe2 at its PBEsol-relaxed geometry.

Output
**Final energy**: -195.0 eV/cell
**DOS(E_F)**: 2.63 states/eV/cell

a = 5.952 Å, b = 3.749 Å, c = 8.693 Å
α = 90.00°, β = 107.09°, γ = 90.00°
Space group P2_1/m (No. 11)
Symmetry-distinct sites (fractional):
Mn1 0.228 0.250 0.494
Sb1 0.328 0.250 0.019
Se1 0.013 0.750 0.324
Se2 0.471 0.750 0.651

***

(19)
A plane-wave DFT calculation with meta-GGA SCAN was carried out for Mn2SbSe at its PBEsol-relaxed geometry.

Output
**Final energy**: -91.7 eV/cell
**DOS(E_F)**: 2.02 states/eV/cell

a = 4.303 Å, b = 4.303 Å, c = 3.043 Å
α = 90.00°, β = 90.00°, γ = 90.00°
Space group P4/mmm (No. 123)
Symmetry-distinct sites (fractional):
Mn1 0.000 0.500 0.000
Sb1 0.000 0.000 0.500
Se1 0.500 0.500 0.500

***

(20)
A plane-wave DFT calculation with meta-GGA SCAN was carried out for Mn2SbSe at its PBEsol-relaxed geometry.

Output
**Final energy**: -287.2 eV/cell
**DOS(E_F)**: 3.58 states/eV/cell

a = 3.7098 Å, b = 3.7098 Å, c = 19.0333 Å
α = 90.00°, β = 90.00°, γ = 120.00°
Space group R-3m (No. 166, hexagonal axes)
Symmetry-distinct sites (fractional):
Mn1 0.0000 0.0000 0.2425
Sb1 0.0000 0.0000 0.0000
Se1 0.0000 0.0000 0.5000